1.
A plane-wave DFT calculation with PBE-GGA was carried out for a geometry-optimized AcPmPaAl structure.

Results
The calculated volume is 469.13 Å³/cell. The energy comes out at -5.21 eV/atom. The formation energy comes out at 0.317 eV per atom. Its density of states at the Fermi level is 1.64 states/eV per atom. As for the total magnetization: 0.93 μB per cell.

extended XYZ file:
```
16
Lattice="7.770 0.000 0.000 0.000 7.770 0.000 0.000 0.000 7.770" Properties=species:S:1:pos:R:3 pbc="T T T"
Ac 0.000 0.000 0.000
Ac 0.000 3.885 3.885
Ac 3.885 0.000 3.885
Ac 3.885 3.885 0.000
Pm 0.000 0.000 3.885
Pm 0.000 3.885 0.000
Pm 3.885 0.000 0.000
Pm 3.885 3.885 3.885
Pa 1.943 1.943 5.828
Pa 1.943 5.828 1.943
Pa 5.828 1.943 1.943
Pa 5.828 5.828 5.828
Al 1.943 1.943 1.943
Al 1.943 5.828 5.828
Al 5.828 1.943 5.828
Al 5.828 5.828 1.943
```

2.
A plane-wave DFT calculation with PBE-GGA was carried out for a geometry-optimized KTcAg2O4 structure.

Results
The calculated volume is 271.76 Å³/cell. The energy comes out at -5.51 eV/atom. The value obtained for the uncorrected formation energy is -0.885 eV per atom. Its density of states at the Fermi level is 0.49 states/eV per atom. As for the total magnetization: 3.48 μB per cell.

extended XYZ file:
```
16
Lattice="6.083 0.000 0.000 0.000 6.083 0.000 0.000 0.000 7.345" Properties=species:S:1:pos:R:3 pbc="T T T"
K 0.000 0.000 0.000
K 3.041 3.041 3.672
Tc 0.000 0.000 3.672
Tc 3.041 3.041 0.000
Ag 0.000 3.041 1.836
Ag 0.000 3.041 5.509
Ag 3.041 0.000 1.836
Ag 3.041 0.000 5.509
O 1.066 1.066 2.601
O 1.066 5.017 4.744
O 1.975 1.975 6.273
O 1.975 4.107 1.072
O 4.107 1.975 1.072
O 4.107 4.107 6.273
O 5.017 1.066 4.744
O 5.017 5.017 2.601
```

3.
A plane-wave DFT calculation with PBE-GGA was carried out for a geometry-optimized YScMn2Cr structure.

Results
The calculated volume is 98.17 Å³/cell. The energy comes out at -7.68 eV/atom. The formation energy comes out at 0.468 eV per atom. Its density of states at the Fermi level is 1.22 states/eV per atom. As for the total magnetization: 4.18 μB per cell.

extended XYZ file:
```
5
Lattice="4.561 0.000 0.000 0.000 4.561 0.000 0.000 0.000 4.720" Properties=species:S:1:pos:R:3 pbc="T T T"
Y 0.000 0.000 0.000
Sc 2.280 2.280 0.000
Mn 0.000 2.280 2.360
Mn 2.280 0.000 2.360
Cr 2.280 2.280 2.360
```

4.
A plane-wave DFT calculation with PBE-GGA was carried out for a geometry-optimized LiEu3P structure.

Results
The calculated volume is 190.13 Å³/cell. The energy comes out at -8.06 eV/atom. The formation energy comes out at -0.435 eV per atom. Its density of states at the Fermi level is 4.37 states/eV per atom. As for the total magnetization: 22.44 μB per cell.

extended XYZ file:
```
5
Lattice="5.750 0.000 0.000 0.000 5.750 0.000 0.000 0.000 5.750" Properties=species:S:1:pos:R:3 pbc="T T T"
Li 0.000 0.000 0.000
Eu 0.000 2.875 2.875
Eu 2.875 0.000 2.875
Eu 2.875 2.875 0.000
P 2.875 2.875 2.875
```